# Li2Ni4F9 | Alexandria via LeMat-Bulk | PBE+U | relaxed
# E_tot in eV per cell: -254.44
data_Li2Ni4F9
_symmetry_space_group_name_H-M 'C 1 2/c 1'
_symmetry_Int_Tables_number 15
_cell_length_a 8.7026
_cell_length_b 5.1711
_cell_length_c 14.5434
_cell_angle_alpha 90.00
_cell_angle_beta 92.24
_cell_angle_gamma 90.00
loop_
_symmetry_equiv_pos_as_xyz
'x,y,z'
'-x,-y,-z'
'-x,y,-z+1/2'
'x,-y,z+1/2'
'x+1/2,y+1/2,z'
'-x+1/2,-y+1/2,-z'
'-x+1/2,y+1/2,-z+1/2'
'x+1/2,-y+1/2,z+1/2'
loop_
_atom_site_label
_atom_site_type_symbol
_atom_site_fract_x
_atom_site_fract_y
_atom_site_fract_z
Li1 Li 0.0046 0.0346 0.3446
Ni1 Ni 0.1538 0.4866 0.9799
Ni2 Ni 0.1606 0.4685 0.6806
F1 F 0.0000 0.3391 0.2500
F2 F 0.0062 0.3024 0.8975
F3 F 0.1485 0.2257 0.0855
F4 F 0.1627 0.1228 0.7477
F5 F 0.1912 0.1698 0.4155